This record from Alexandria via LeMat-Bulk describes crystalline TcMo3O at its relaxed geometry. The functional is PBE with a Hubbard U.

Results
As for the space-group type: No. 221. The value obtained for the total magnetization is 0.82 Bohr magnetons per cell. The value obtained for the polymorph energy (0 for the lowest one) is 0.0000 eV/atom. The total energy is -33.2 eV for the cell shown.

a b c (Å): 4.148 4.148 4.148
angles (deg): 90.00 90.00 90.00
Positions (direct):
Tc1 0.000 0.000 0.000
Mo1 0.000 0.500 0.500
Mo2 0.500 0.000 0.500
Mo3 0.500 0.500 0.000
O1 0.500 0.500 0.500